The following is a PBEsol calculation of a relaxed Sb2TeHO crystal, from the Alexandria database.

abc: 4.7462 4.7462 4.0354
angles: 90.00 90.00 90.00
Fractional positions:
Sb 0.0000 0.5000 0.0000
Sb 0.5000 0.0000 0.0000
Te 0.0000 0.0000 0.5000
H 0.0000 0.0000 0.0000
O 0.5000 0.5000 0.5000

Results
- Fermi-level density of states: 2.6 states/eV per cell
- VASP energy: -3.632 eV per atom